{"formula": "Ba2HoTlF8", "functional": "GGA-PBE", "state": "relaxed", "dos_ef_per_ev_atom": 0.00, "spacegroup": "No. 119", "cell": [[-3.924, -4.035, -2.141], [4.348, -2.434, -3.381], [1.219, -0.598, 7.361]], "species": ["Ba", "Ba", "Ho", "Tl", "F", "F", "F", "F", "F", "F", "F", "F"], "frac_coords": [[0.750, 0.250, 0.500], [0.000, 0.000, 0.000], [0.250, 0.750, 0.500], [0.500, 0.500, 0.000], [0.127, 0.642, 0.717], [0.590, 0.642, 0.717], [0.358, 0.410, 0.283], [0.924, 0.873, 0.283], [0.590, 0.076, 0.717], [0.358, 0.873, 0.283], [0.127, 0.076, 0.717], [0.924, 0.410, 0.283]]}

---

{"formula": "BaIF", "functional": "GGA-PBE", "state": "relaxed", "dos_ef_per_ev_atom": 0.00, "spacegroup": "No. 187", "cell": [[5.263, 0.000, 0.000], [0.000, 4.544, 0.000], [0.000, -2.272, 3.935]], "species": ["I", "Ba", "F"], "frac_coords": [[0.667, 0.667, 0.333], [0.167, 0.000, 0.000], [0.167, 0.333, 0.667]]}

---

{"formula": "BaIF", "functional": "GGA-PBE", "state": "relaxed", "spacegroup": "No. 139", "cell": [[-1.391, 1.447, -4.858], [-2.522, -4.567, -0.638], [-7.955, 1.389, -0.152]], "species": ["Ba", "Ba", "I", "I", "F", "F"], "frac_coords": [[0.238, 0.179, 0.440], [0.570, 0.510, 0.777], [0.404, 0.844, 0.109], [0.904, 0.344, 0.108], [0.154, 0.595, 0.608], [0.654, 0.094, 0.609]]}

---

{"formula": "Ba2IF", "functional": "GGA-PBE", "state": "relaxed", "dos_ef_per_ev_atom": 1.02, "spacegroup": "No. 225", "cell": [[0.000, 4.065, 4.065], [4.065, 0.000, 4.065], [4.065, 4.065, 0.000]], "species": ["I", "Ba", "Ba", "F"], "frac_coords": [[0.500, 0.500, 0.500], [0.250, 0.250, 0.250], [0.750, 0.750, 0.750], [0.000, 0.000, 0.000]]}

---

Values for total magnetization, μB per atom, ordered as above
0.000 0.000 0.000 0.436
Values for formation energy from raw total energies, eV per atom, ordered as above
-3.594 -2.827 -2.596 -1.496